NiHgBr2: relaxed, GGA-PBE.

Results
ρ	5.0	Mg/m³
ΔE to the lowest computed polymorph	74	meV per atom
ΔE_f (raw)	-0.164	eV per atom
total DFT energy (no corrections)	-2.521	eV per atom

Cell lengths 3.398, 8.177, 10.069 Å; angles 90.00, 90.00, 90.00 degrees
Space group Cmmm (No. 65)
Asymmetric unit:
Ni (0.000, 0.000, 0.000) x2
Hg (0.000, 0.000, 0.500) x2
Br (0.000, 0.500, 0.158) x4